Material: CuPHO2
Method: DFT, PBE
State: relaxed

Unit cell a=3.9463 b=3.9463 c=2.8804 alpha=90.00 beta=90.00 gamma=90.00
Last column: nearest neighbours and their distance in Å.
Element x y z (fractional)
1 H 0.0000 0.0000 0.0000  2 P 1.44
2 O 0.5000 0.0000 0.0000  2 H 1.97
3 P 0.0000 0.0000 0.5000  2 H 1.44
4 O 0.0000 0.5000 0.0000  2 H 1.97
5 Cu 0.5000 0.5000 0.5000  8 O 2.44

Output
* SG: P4/mmm, No. 123
* calculated total energy: -3.971 eV per atom

---

Material: U2CuP2H16O20
Method: DFT, PBE
State: relaxed

Unit cell a=7.0069 b=7.0069 c=17.5232 alpha=90.00 beta=90.00 gamma=90.00
Last column: nearest neighbours and their distance in Å.
Element x y z (fractional)
1 O 0.7189 0.4644 0.6914  2 H 0.99-1.01
2 H 0.5341 0.7868 0.8071  1 O 1.00
3 O 0.4531 0.6728 0.5525  1 P 1.56
4 H 0.3802 0.3266 0.2652  1 O 1.01
5 O 0.3972 0.7451 0.8076  2 H 0.99-1.00
6 H 0.0917 0.1675 0.6439  1 O 0.99
7 O 0.0000 0.5000 0.8443  1 U 1.82
8 H 0.6776 0.6215 0.1435  1 O 0.99
9 O 0.1028 0.7549 0.1924  2 H 0.99-1.00
10 O 0.5000 0.0000 0.9484  1 U 1.81
11 H 0.3224 0.3785 0.1435  1 O 0.99
12 O 0.3267 0.5416 0.9472  1 P 1.55
13 H 0.7132 0.0341 0.8071  1 O 1.00
14 H 0.9083 0.8325 0.6439  1 O 0.99
15 U 0.5000 0.0000 0.5515  2 O 1.81-1.83
16 O 0.0000 0.5000 0.3452  1 U 1.81
17 H 0.2132 0.5341 0.1929  1 O 1.00
18 H 0.5917 0.6675 0.3561  1 O 0.99
19 P 0.5000 0.5000 0.5000  4 O 1.56
20 H 0.6215 0.3224 0.8565  1 O 0.99
21 H 0.8224 0.8785 0.8565  1 O 0.99
22 O 0.0416 0.1733 0.9472  1 P 1.55
23 O 0.9584 0.8267 0.9472  1 P 1.55
24 O 0.5416 0.6733 0.0528  1 P 1.55
25 H 0.8785 0.1776 0.1435  1 O 0.99
26 H 0.6734 0.3802 0.7348  1 O 1.01
27 H 0.4083 0.3325 0.3561  1 O 0.99
28 O 0.0000 0.5000 0.0516  1 U 1.81
29 P 0.0000 0.0000 0.5000  4 O 1.56
30 O 0.7451 0.6028 0.1924  2 H 0.99-1.00
31 O 0.0469 0.8272 0.4475  1 P 1.56
32 P 0.5000 0.5000 0.0000  4 O 1.55
33 U 0.5000 0.0000 0.0516  2 O 1.81-1.82
34 H 0.8266 0.1198 0.2652  1 O 1.01
35 H 0.3325 0.5917 0.6439  1 O 0.99
36 O 0.6028 0.2549 0.8076  2 H 0.99-1.00
37 H 0.8325 0.0917 0.3561  1 O 0.99
38 O 0.1728 0.0469 0.5525  1 P 1.56
39 O 0.9644 0.7811 0.6914  2 H 0.99-1.01
40 O 0.5000 0.0000 0.1557  1 U 1.82
41 O 0.6728 0.5469 0.4475  1 P 1.56
42 H 0.6675 0.4083 0.6439  1 O 0.99
43 U 0.0000 0.5000 0.4485  2 O 1.81-1.83
44 O 0.7811 0.0356 0.3086  2 H 0.99-1.01
45 O 0.5469 0.3272 0.5525  1 P 1.56
46 O 0.2811 0.5356 0.6914  2 H 0.99-1.01
47 U 0.0000 0.5000 0.9484  2 O 1.81-1.82
48 Cu 0.5000 0.0000 0.3109  4 O 1.99
49 O 0.0356 0.2189 0.6914  2 H 0.99-1.01
50 O 0.8972 0.2451 0.1924  2 H 0.99-1.00
51 H 0.8802 0.8266 0.7348  1 O 1.01
52 O 0.3272 0.4531 0.4475  1 P 1.56
53 O 0.1733 0.9584 0.0528  1 P 1.55
54 H 0.6198 0.6734 0.2652  1 O 1.01
55 H 0.1198 0.1734 0.7348  1 O 1.01
56 H 0.2868 0.9659 0.8071  1 O 1.00
57 O 0.0000 0.5000 0.5528  1 U 1.83
58 O 0.9531 0.1728 0.4475  1 P 1.56
59 H 0.3785 0.6776 0.8565  1 O 0.99
60 P 0.0000 0.0000 0.0000  4 O 1.55
61 Cu 0.0000 0.5000 0.6891  4 O 1.99
62 H 0.3266 0.6198 0.7348  1 O 1.01
63 H 0.4659 0.2132 0.8071  1 O 1.00
64 O 0.5000 0.0000 0.4472  1 U 1.83
65 H 0.1215 0.8224 0.1435  1 O 0.99
66 O 0.8272 0.9531 0.5525  1 P 1.56
67 H 0.0341 0.2868 0.1929  1 O 1.00
68 H 0.9659 0.7132 0.1929  1 O 1.00
69 O 0.2189 0.9644 0.3086  2 H 0.99-1.01
70 H 0.7868 0.4659 0.1929  1 O 1.00
71 O 0.5000 0.0000 0.6548  1 U 1.81
72 O 0.6733 0.4584 0.9472  1 P 1.55
73 H 0.1734 0.8802 0.2652  1 O 1.01
74 O 0.4644 0.2811 0.3086  2 H 0.99-1.01
75 O 0.5356 0.7189 0.3086  2 H 0.99-1.01
76 O 0.2549 0.3972 0.1924  2 H 0.99-1.00
77 O 0.4584 0.3267 0.0528  1 P 1.55
78 O 0.2451 0.1028 0.8076  2 H 0.99-1.00
79 H 0.1675 0.9083 0.3561  1 O 0.99
80 O 0.7549 0.8972 0.8076  2 H 0.99-1.00
81 O 0.8267 0.0416 0.0528  1 P 1.55
82 H 0.1776 0.1215 0.8565  1 O 0.99

Output
* SG: P4/n, No. 85
* calculated total energy: -6.287 eV per atom

---

Material: CuHPbO2
Method: DFT, PBE
State: relaxed

Unit cell a=4.0701 b=3.4224 c=4.0701 alpha=90.00 beta=90.00 gamma=90.00
Last column: nearest neighbours and their distance in Å.
Element x y z (fractional)
1 H 0.0000 0.5000 0.0000  2 Cu 1.71
2 O 0.0000 0.0000 0.5000  2 Cu 2.04
3 Pb 0.5000 0.5000 0.5000  8 O 2.66, 4 H 2.88
4 Cu 0.0000 0.0000 0.0000  2 H 1.71
5 O 0.5000 0.0000 0.0000  2 Cu 2.04

Output
* SG: P4/mmm, No. 123
* calculated total energy: -4.607 eV per atom

---

Q: Which of these has the lowest calculated total energy?
A: U2CuP2H16O20

---

Q: Which formula does entry 1 have?
A: CuPHO2

---

Q: Among the records above, which one has the lowest calculated total energy?
A: U2CuP2H16O20

---

Q: Among the records above, which one has the highest calculated total energy?
A: CuPHO2